K5CdO | PBE | optimized geometry Values from VASP.

- total energy (Ha/atom) = -0.07496
- ΔE_f (raw) (eV per formula unit) = -2.9
- crystal system = orthorhombic

The structure in Quantum ESPRESSO input format:
```
&SYSTEM
  ibrav = 0, nat = 7, ntyp = 3
/
ATOMIC_SPECIES
K 39.10 K.upf
Cd 112.41 Cd.upf
O 16.00 O.upf
ATOMIC_POSITIONS angstrom
K 3.914 2.024 4.996
K 0.474 3.507 5.838
K 2.143 4.990 8.962
K 2.407 1.349 8.315
K 3.609 5.666 5.624
Cd 0.010 0.000 0.005
O 3.020 3.507 6.975
CELL_PARAMETERS angstrom
5.089 0.000 2.273
1.576 7.554 3.304
-0.677 -0.539 8.350
```

La2ZnTe | PBE | optimized geometry Values from VASP.

- total energy (Ha/atom) = -0.16214
- ΔE_f (raw) (eV per formula unit) = -3.4
- crystal system = trigonal

The structure in Quantum ESPRESSO input format:
```
&SYSTEM
  ibrav = 0, nat = 4, ntyp = 3
/
ATOMIC_SPECIES
La 138.91 La.upf
Te 127.60 Te.upf
Zn 65.41 Zn.upf
ATOMIC_POSITIONS angstrom
La -0.012 -0.026 -0.022
La -3.990 -8.344 -7.174
Te -2.001 -4.185 -3.598
Zn -6.003 -12.554 -10.795
CELL_PARAMETERS angstrom
-4.839 -4.306 -5.072
-0.737 -5.145 -6.377
-2.428 -7.288 -2.944
```

ZnSi2Rh | PBE | optimized geometry Values from VASP.

- total energy (Ha/atom) = -0.18072
- ΔE_f (raw) (eV per formula unit) = -0.2
- crystal system = tetragonal

The structure in Quantum ESPRESSO input format:
```
&SYSTEM
  ibrav = 0, nat = 4, ntyp = 3
/
ATOMIC_SPECIES
Rh 102.91 Rh.upf
Si 28.09 Si.upf
Zn 65.41 Zn.upf
ATOMIC_POSITIONS angstrom
Rh -1.968 1.737 -0.623
Si 0.000 0.000 0.000
Si -2.471 -0.911 -0.587
Zn -2.408 0.417 -2.935
CELL_PARAMETERS angstrom
-1.905 3.065 -2.971
-2.911 -2.231 -2.899
0.377 -0.008 4.660
```

NaU2Te4 | PBE | optimized geometry Values from VASP.

- total energy (Ha/atom) = -0.21589
- ΔE_f (raw) (eV per formula unit) = -4.7
- crystal system = orthorhombic

The structure in Quantum ESPRESSO input format:
```
&SYSTEM
  ibrav = 0, nat = 14, ntyp = 3
/
ATOMIC_SPECIES
Na 22.99 Na.upf
U 238.03 U.upf
Te 127.60 Te.upf
ATOMIC_POSITIONS angstrom
Na 2.184 1.504 11.460
Na 0.000 5.680 3.820
U 0.000 1.956 6.623
U 2.184 5.228 14.264
U 0.000 1.956 1.017
U 2.184 5.228 8.657
Te 2.184 3.950 1.804
Te 2.184 3.950 5.837
Te 0.000 3.234 13.477
Te 0.000 3.234 9.444
Te 2.184 6.326 11.460
Te 0.000 0.858 3.820
Te 2.184 0.000 0.000
Te 2.184 0.000 7.640
CELL_PARAMETERS angstrom
4.369 0.000 0.000
-2.184 7.184 0.000
0.000 0.000 15.280
```

Ac2Nd3Os2 | PBE | optimized geometry Values from VASP.

- total energy (Ha/atom) = -0.23828
- energy of formation from the pure elements (eV per atom) = -0.06
- crystal system = monoclinic

The structure in Quantum ESPRESSO input format:
```
&SYSTEM
  ibrav = 0, nat = 7, ntyp = 3
/
ATOMIC_SPECIES
Ac 227.00 Ac.upf
Nd 144.24 Nd.upf
Os 190.23 Os.upf
ATOMIC_POSITIONS angstrom
Ac 1.353 2.958 2.887
Ac 3.972 3.585 8.986
Nd 1.982 0.000 0.529
Nd 2.714 5.286 5.744
Nd 2.611 1.257 6.129
Os 1.927 5.734 8.691
Os 3.398 0.809 3.182
CELL_PARAMETERS angstrom
3.965 0.000 1.059
1.601 6.198 1.958
-0.241 0.345 8.857
```

BaSnIr2 | PBE | optimized geometry Values from VASP.

- total energy (Ha/atom) = -0.20295
- energy of formation from the pure elements (eV per atom) = 0.39
- crystal system = tetragonal

The structure in Quantum ESPRESSO input format:
```
&SYSTEM
  ibrav = 0, nat = 8, ntyp = 3
/
ATOMIC_SPECIES
Ir 192.22 Ir.upf
Ba 137.33 Ba.upf
Sn 118.71 Sn.upf
ATOMIC_POSITIONS angstrom
Ir 0.201 2.837 5.038
Ir 2.309 -1.538 5.732
Ir 3.160 1.215 8.268
Ir 3.343 2.069 13.095
Ba 0.000 0.000 0.000
Ba 1.094 3.643 8.002
Sn 0.514 0.306 5.474
Sn 3.412 -1.351 8.065
CELL_PARAMETERS angstrom
-1.805 5.301 5.412
2.832 -4.688 5.536
3.479 1.679 5.119
```

BaY2Tc | PBE | optimized geometry Values from VASP.

- total energy (Ha/atom) = -0.22042
- energy of formation from the pure elements (eV per atom) = 0.31
- crystal system = monoclinic

The structure in Quantum ESPRESSO input format:
```
&SYSTEM
  ibrav = 0, nat = 4, ntyp = 3
/
ATOMIC_SPECIES
Ba 137.33 Ba.upf
Tc 98.00 Tc.upf
Y 88.91 Y.upf
ATOMIC_POSITIONS angstrom
Ba 6.457 3.701 6.652
Tc 2.152 1.234 2.217
Y 6.456 3.700 0.952
Y 4.305 2.468 3.487
CELL_PARAMETERS angstrom
4.298 -0.016 0.002
2.158 3.717 0.002
2.153 1.234 8.864
```

CoCu2Br | PBE | optimized geometry Values from VASP.

- total energy (Ha/atom) = -0.14019
- ΔE_f (raw) (eV per formula unit) = 1.7
- crystal system = orthorhombic

The structure in Quantum ESPRESSO input format:
```
&SYSTEM
  ibrav = 0, nat = 4, ntyp = 3
/
ATOMIC_SPECIES
Br 79.90 Br.upf
Co 58.93 Co.upf
Cu 63.55 Cu.upf
ATOMIC_POSITIONS angstrom
Br -4.698 -0.435 -1.975
Co -3.454 -0.204 0.122
Cu -0.973 -0.090 -0.409
Cu -2.423 1.713 -1.111
CELL_PARAMETERS angstrom
-4.983 1.360 -3.761
-5.880 -2.366 -0.805
4.745 2.494 3.477
```

Tb6Tm2Sc | PBE | optimized geometry Values from VASP.

- total energy (Ha/atom) = -0.17217
- energy of formation from the pure elements (eV per atom) = 0.10
- crystal system = monoclinic

The structure in Quantum ESPRESSO input format:
```
&SYSTEM
  ibrav = 0, nat = 18, ntyp = 3
/
ATOMIC_SPECIES
Tb 158.93 Tb.upf
Tm 168.93 Tm.upf
Sc 44.96 Sc.upf
ATOMIC_POSITIONS angstrom
Tb 5.211 -8.057 0.293
Tb 4.398 -5.588 -1.910
Tb 6.102 -5.113 2.217
Tb 6.915 -7.582 4.420
Tb 3.086 -3.134 3.565
Tb 9.920 -9.572 3.064
Tb 8.227 -10.036 -1.055
Tb 1.393 -3.599 -0.554
Tb 1.817 -7.490 -1.307
Tb 4.660 -9.296 -2.674
Tb 9.496 -5.680 3.817
Tb 6.653 -3.874 5.184
Tm 8.443 -7.328 0.954
Tm 4.630 -2.843 0.046
Tm 2.870 -5.842 1.556
Tm 6.683 -10.328 2.464
Sc 8.686 -2.930 2.123
Sc 2.627 -10.240 0.387
CELL_PARAMETERS angstrom
-0.704 -3.174 5.148
2.428 -8.589 -4.022
9.589 -1.408 1.384
```

KFeI3 | PBE | optimized geometry Values from VASP.

- total energy (Ha/atom) = -0.12303
- ΔE_f (raw) (eV per formula unit) = -2.5
- crystal system = cubic

The structure in Quantum ESPRESSO input format:
```
&SYSTEM
  ibrav = 0, nat = 5, ntyp = 3
/
ATOMIC_SPECIES
I 126.90 I.upf
K 39.10 K.upf
Fe 55.84 Fe.upf
ATOMIC_POSITIONS angstrom
I 0.170 -1.961 2.049
I -0.391 2.017 1.963
I -2.809 -0.400 -0.149
K -3.030 -0.345 3.863
Fe 0.000 0.000 0.000
CELL_PARAMETERS angstrom
-5.619 -0.800 -0.299
0.341 -3.923 4.098
-0.783 4.034 3.926
```

TaNi2MoH | PBE | optimized geometry Values from VASP.

- total energy (Ha/atom) = -0.27969
- crystal system = tetragonal

The structure in Quantum ESPRESSO input format:
```
&SYSTEM
  ibrav = 0, nat = 5, ntyp = 4
/
ATOMIC_SPECIES
Ni 58.69 Ni.upf
Mo 95.94 Mo.upf
H 1.01 H.upf
Ta 180.95 Ta.upf
ATOMIC_POSITIONS angstrom
Ni 0.000 1.888 0.000
Ni 1.888 0.000 0.000
Mo 0.000 0.000 2.009
H 0.000 0.000 0.000
Ta 1.888 1.888 2.009
CELL_PARAMETERS angstrom
3.776 0.000 0.000
0.000 3.776 0.000
0.000 0.000 4.019
```

RbTaBe | PBE | optimized geometry Values from VASP.

- total energy (Ha/atom) = -0.18470
- energy of formation from the pure elements (eV per atom) = 0.49
- crystal system = triclinic

The structure in Quantum ESPRESSO input format:
```
&SYSTEM
  ibrav = 0, nat = 6, ntyp = 3
/
ATOMIC_SPECIES
Be 9.01 Be.upf
Rb 85.47 Rb.upf
Ta 180.95 Ta.upf
ATOMIC_POSITIONS angstrom
Be 2.826 2.190 5.015
Be 1.175 0.350 8.324
Rb 1.067 0.587 2.286
Rb 2.934 1.952 11.053
Ta 2.871 2.091 7.509
Ta 1.130 0.448 5.830
CELL_PARAMETERS angstrom
3.420 0.001 -0.056
0.001 3.417 0.126
0.581 -0.878 13.269
```